# Dy3B11

A relaxed structure of Dy3B11 (GGA-PBE, the Alexandria database).

Calculated values
- Energy of formation: -0.24 eV/atom
- ρ: 7.4 g/cm³
- Calculated volume: 135.8 Å³ per cell
- Spin magnetization: 0.00 μB per atom

Lattice parameters (Å, degrees): 8.021 8.021 8.021 156.40 138.76 48.06
Atoms (fractional coordinates):
Dy 0.000 0.000 0.000
Dy 0.243 0.243 0.000
Dy 0.757 0.757 0.000
B 0.064 0.383 0.681
B 0.221 0.880 0.342
B 0.298 0.617 0.681
B 0.339 0.500 0.839
B 0.462 0.120 0.342
B 0.500 0.000 0.500
B 0.538 0.880 0.658
B 0.661 0.500 0.161
B 0.702 0.383 0.319
B 0.779 0.120 0.658
B 0.936 0.617 0.319